No. 1
## BaTcGeF2 (PBE)

Data for a relaxed BaTcGeF2 crystal.

Total magnetization ... 0.63 μB per atom
Total DFT energy (no corrections) ... -0.356 Ry/atom

Geometry as POSCAR:
```
BaTcGeF2
1.0
4.6802 0.0000 0.0000
0.0000 4.6802 0.0000
0.0000 0.0000 8.2972
Ba Tc Ge F
1 1 1 2
Direct
0.0000 0.0000 0.0000
0.0000 0.0000 0.5000
0.5000 0.5000 0.5000
0.0000 0.5000 0.0000
0.5000 0.0000 0.0000
```

=====

No. 2
## In2Hg3Cl4 (PBE)

Data for a relaxed In2Hg3Cl4 crystal.

Total magnetization ... 0.00 μB per atom
Total DFT energy (no corrections) ... -0.160 Ry/atom

Geometry as POSCAR:
```
In2Hg3Cl4
1.0
6.3303 0.0000 0.0000
-1.8452 8.6875 0.0000
-2.2881 -1.2083 11.7654
In Hg Cl
4 6 8
Direct
0.0000 0.0000 0.0000
0.0073 0.9170 0.3080
0.4439 0.2798 0.7299
0.5626 0.6358 0.5775
0.1063 0.4659 0.9707
0.2749 0.7615 0.4358
0.3963 0.5660 0.2341
0.6090 0.3515 0.0726
0.7323 0.1548 0.8718
0.8990 0.4511 0.3362
0.0474 0.1983 0.6811
0.1676 0.1455 0.2035
0.3143 0.9110 0.9593
0.4964 0.5766 0.7770
0.5094 0.3389 0.5304
0.6928 0.0056 0.3489
0.8395 0.7716 0.1044
0.9591 0.7167 0.6265
```

=====

No. 3
## LiCrP (PBE)

Data for a relaxed LiCrP crystal.

Formation enthalpy at 0 K ... -0.293 eV per atom
Total magnetization ... 1.15 μB per atom
Total DFT energy (no corrections) ... -0.437 Ry/atom

Geometry as POSCAR:
```
LiCrP
1.0
5.6812 0.0000 0.0000
0.0000 5.6812 0.0000
0.0000 0.0000 5.6812
Li Cr P
4 4 4
Direct
0.0000 0.0000 0.0000
0.0000 0.5000 0.5000
0.5000 0.0000 0.5000
0.5000 0.5000 0.0000
0.0000 0.0000 0.5000
0.0000 0.5000 0.0000
0.5000 0.0000 0.0000
0.5000 0.5000 0.5000
0.2500 0.2500 0.2500
0.2500 0.7500 0.7500
0.7500 0.2500 0.7500
0.7500 0.7500 0.2500
```

=====

No. 4
## CaLuCu2 (PBE)

Data for a relaxed CaLuCu2 crystal.

Formation enthalpy at 0 K ... -0.128 eV per atom
Total magnetization ... 0.00 μB per atom
Total DFT energy (no corrections) ... -0.280 Ry/atom

Geometry as POSCAR:
```
CaLuCu2
1.0
6.9116 0.0000 0.0000
0.0000 6.9116 0.0000
0.0000 0.0000 6.9116
Ca Lu Cu
4 4 8
Direct
0.0000 0.0000 0.0000
0.0000 0.5000 0.5000
0.5000 0.0000 0.5000
0.5000 0.5000 0.0000
0.0000 0.0000 0.5000
0.0000 0.5000 0.0000
0.5000 0.0000 0.0000
0.5000 0.5000 0.5000
0.2500 0.2500 0.2500
0.2500 0.2500 0.7500
0.2500 0.7500 0.2500
0.2500 0.7500 0.7500
0.7500 0.2500 0.2500
0.7500 0.2500 0.7500
0.7500 0.7500 0.2500
0.7500 0.7500 0.7500
```

=====

No. 5
## Pu2TiTl3S6 (PBE)

Data for a relaxed Pu2TiTl3S6 crystal.

Total magnetization ... 0.92 μB per atom
Total DFT energy (no corrections) ... -0.502 Ry/atom

Geometry as POSCAR:
```
Pu2TiTl3S6
1.0
3.3949 -5.8597 0.0000
3.3949 5.8597 0.0000
-2.2474 0.0000 7.5037
Pu Ti Tl S
2 1 3 6
Direct
0.1662 0.8338 0.0000
0.8338 0.1662 0.0000
0.5000 0.5000 0.0000
0.0000 0.0000 0.5000
0.3284 0.6716 0.5000
0.6716 0.3284 0.5000
0.1283 0.4368 0.8108
0.2559 0.2559 0.1957
0.4368 0.1283 0.8108
0.5632 0.8717 0.1892
0.7441 0.7441 0.8043
0.8717 0.5632 0.1892
```

=====

No. 6
## Cs3SrCa2I9 (PBE)

Data for a relaxed Cs3SrCa2I9 crystal.

Total magnetization ... 0.00 μB per atom
Total DFT energy (no corrections) ... -0.227 Ry/atom

Geometry as POSCAR:
```
Cs3SrCa2I9
1.0
8.9040 0.0000 0.0000
-4.4520 7.7111 0.0000
0.0000 0.0000 10.9326
Cs Sr Ca I
3 1 2 9
Direct
0.0000 0.0000 0.0000
0.3333 0.6667 0.6687
0.6667 0.3333 0.3313
0.0000 0.0000 0.5000
0.3333 0.6667 0.1613
0.6667 0.3333 0.8387
0.0000 0.5000 0.0000
0.1702 0.3405 0.3279
0.1702 0.8298 0.3279
0.3405 0.1702 0.6721
0.5000 0.0000 0.0000
0.5000 0.5000 0.0000
0.6595 0.8298 0.3279
0.8298 0.1702 0.6721
0.8298 0.6595 0.6721
```